[1]
Computed, not measured: LiZrIr2 after structural relaxation at the PBEsol level of DFT.

Computed properties:
As for the space group: Fm-3m, No. 225. The theoretical density is 13.35 g/cm³. Its total magnetic moment is 0.000 μB per cell. The offset from the most stable computed form comes out at 0.0 meV/atom.

Geometry as POSCAR:
```
LiZrIr2
1.0
0.000 3.108 3.108
3.108 0.000 3.108
3.108 3.108 0.000
Li Zr Ir
1 1 2
direct
0.000 0.000 0.000
0.500 0.500 0.500
0.250 0.250 0.250
0.750 0.750 0.750
```

[2]
Computed, not measured: Na2SnWF after structural relaxation at the PBEsol level of DFT.

Computed properties:
As for the space group: P4/mmm, No. 123. The theoretical density is 6.21 g/cm³. Its total magnetic moment is 2.949 μB per cell. As for the uncorrected formation energy: -0.1117 eV per atom.

Geometry as POSCAR:
```
Na2SnWF
1.0
4.108 0.000 0.000
0.000 4.108 0.000
0.000 0.000 5.820
Na Sn W F
2 1 1 1
direct
0.000 0.500 0.000
0.500 0.000 0.000
0.000 0.000 0.500
0.500 0.500 0.500
0.500 0.500 0.000
```

[3]
Computed, not measured: Tl3Au4 after structural relaxation at the PBEsol level of DFT.

Computed properties:
As for the space group: I4/mmm, No. 139. The theoretical density is 15.48 g/cm³. Its total magnetic moment is 0.000 μB per cell. The calculation puts the final energy at -3.3069 eV per atom.

Geometry as POSCAR:
```
Tl3Au4
1.0
-1.731 1.731 12.534
1.731 -1.731 12.534
1.731 1.731 -12.534
Tl Au
3 4
direct
0.000 0.000 0.000
0.301 0.301 0.000
0.699 0.699 0.000
0.128 0.128 0.000
0.427 0.427 0.000
0.573 0.573 0.000
0.872 0.872 0.000
```

[4]
Computed, not measured: MgBe2FeRu after structural relaxation at the PBEsol level of DFT.

Computed properties:
As for the space group: P4/mmm, No. 123. The theoretical density is 4.42 g/cm³. Its total magnetic moment is 3.515 μB per cell. The calculation puts the final energy at -4.0265 eV per atom.

Geometry as POSCAR:
```
MgBe2FeRu
1.0
4.123 0.000 0.000
0.000 4.123 0.000
0.000 0.000 4.403
Mg Be Fe Ru
1 2 1 1
direct
0.000 0.000 0.000
0.000 0.500 0.000
0.500 0.000 0.000
0.500 0.500 0.500
0.000 0.000 0.500
```

[5]
Computed, not measured: MgAl2Os after structural relaxation at the PBEsol level of DFT.

Computed properties:
As for the space group: I-4m2, No. 119. The theoretical density is 7.45 g/cm³. Its total magnetic moment is 0.000 μB per cell. The offset from the most stable computed form comes out at 74.7 meV/atom.

Geometry as POSCAR:
```
MgAl2Os
1.0
-1.925 1.925 4.035
1.925 -1.925 4.035
1.925 1.925 -4.035
Mg Al Os
1 2 1
direct
0.000 0.000 0.000
0.250 0.750 0.500
0.500 0.500 0.000
0.750 0.250 0.500
```

[6]
Computed, not measured: Y3Cl after structural relaxation at the PBEsol level of DFT.

Computed properties:
As for the space group: Cmmm, No. 65. The theoretical density is 4.56 g/cm³. Its total magnetic moment is 0.000 μB per cell. As for the uncorrected formation energy: -0.2572 eV per atom.

Geometry as POSCAR:
```
Y3Cl
1.0
3.993 -4.004 0.000
3.993 4.004 0.000
0.000 0.000 3.439
Y Cl
3 1
direct
0.000 0.000 0.000
0.000 0.500 0.500
0.500 0.000 0.500
0.500 0.500 0.000
```

[7]
Computed, not measured: Sr2RuSe after structural relaxation at the PBEsol level of DFT.

Computed properties:
As for the space group: R3m, No. 160. The theoretical density is 4.79 g/cm³. Its total magnetic moment is 0.000 μB per cell. As for the uncorrected formation energy: -0.4493 eV per atom.

Geometry as POSCAR:
```
Sr2RuSe
1.0
2.128 1.229 7.853
-2.128 1.229 7.853
0.000 -2.457 7.853
Sr Ru Se
2 1 1
direct
0.000 0.000 0.000
0.169 0.169 0.169
0.417 0.417 0.417
0.752 0.752 0.752
```

[8]
Computed, not measured: Cr2SbP after structural relaxation at the PBEsol level of DFT.

Computed properties:
As for the space group: P4/mmm, No. 123. The theoretical density is 7.69 g/cm³. Its total magnetic moment is 2.232 μB per cell. As for the uncorrected formation energy: 0.2403 eV per atom.

Geometry as POSCAR:
```
Cr2SbP
1.0
4.256 0.000 0.000
0.000 4.256 0.000
0.000 0.000 3.062
Cr Sb P
2 1 1
direct
0.000 0.500 0.000
0.500 0.000 0.000
0.000 0.000 0.500
0.500 0.500 0.500
```

[9]
Computed, not measured: HfNb2CrBi after structural relaxation at the PBEsol level of DFT.

Computed properties:
As for the space group: P4/mmm, No. 123. The theoretical density is 9.18 g/cm³. Its total magnetic moment is 1.675 μB per cell. The calculation puts the final energy at -7.8327 eV per atom.

Geometry as POSCAR:
```
HfNb2CrBi
1.0
4.932 0.000 0.000
0.000 4.932 0.000
0.000 0.000 4.650
Hf Nb Cr Bi
1 2 1 1
direct
0.000 0.000 0.000
0.000 0.500 0.000
0.500 0.000 0.000
0.000 0.000 0.500
0.500 0.500 0.500
```

[10]
Computed, not measured: PrMg3 after structural relaxation at the PBEsol level of DFT.

Computed properties:
As for the space group: Fm-3m, No. 225. The theoretical density is 3.55 g/cm³. Its total magnetic moment is 0.000 μB per cell. The calculation puts the final energy at -2.7148 eV per atom.

Geometry as POSCAR:
```
PrMg3
1.0
0.000 3.684 3.684
3.684 0.000 3.684
3.684 3.684 0.000
Pr Mg
1 3
direct
0.000 0.000 0.000
0.250 0.250 0.250
0.500 0.500 0.500
0.750 0.750 0.750
```

[11]
Computed, not measured: Cs2KRb after structural relaxation at the PBEsol level of DFT.

Computed properties:
As for the space group: Fm-3m, No. 225. The theoretical density is 1.78 g/cm³. Its total magnetic moment is 0.000 μB per cell. The offset from the most stable computed form comes out at 0.0 meV/atom.

Geometry as POSCAR:
```
Cs2KRb
1.0
0.000 5.672 5.672
5.672 0.000 5.672
5.672 5.672 0.000
Cs K Rb
2 1 1
direct
0.250 0.250 0.250
0.750 0.750 0.750
0.000 0.000 0.000
0.500 0.500 0.500
```

[12]
Computed, not measured: LiIn2Ni after structural relaxation at the PBEsol level of DFT.

Computed properties:
As for the space group: Cm, No. 8. The theoretical density is 7.44 g/cm³. Its total magnetic moment is 0.000 μB per cell. The calculation puts the final energy at -3.6502 eV per atom.

Geometry as POSCAR:
```
LiIn2Ni
1.0
4.915 -1.622 0.000
4.915 1.622 0.000
-1.499 0.000 4.133
Li In Ni
1 2 1
direct
0.000 0.000 0.000
0.231 0.231 0.776
0.458 0.458 0.447
0.728 0.728 0.276
```

[13]
Computed, not measured: MgTi2AuS after structural relaxation at the PBEsol level of DFT.

Computed properties:
As for the space group: P4/mmm, No. 123. The theoretical density is 4.92 g/cm³. Its total magnetic moment is 0.004 μB per cell. As for the uncorrected formation energy: 0.7650 eV per atom.

Geometry as POSCAR:
```
MgTi2AuS
1.0
4.869 0.000 0.000
0.000 4.869 0.000
0.000 0.000 4.968
Mg Ti Au S
1 2 1 1
direct
0.000 0.000 0.000
0.000 0.500 0.500
0.500 0.000 0.500
0.500 0.500 0.500
0.500 0.500 0.000
```

[14]
Computed, not measured: SrTl3 after structural relaxation at the PBEsol level of DFT.

Computed properties:
As for the space group: Pm-3m, No. 221. The theoretical density is 10.16 g/cm³. Its total magnetic moment is 0.000 μB per cell. The calculation puts the final energy at -2.7270 eV per atom.

Geometry as POSCAR:
```
SrTl3
1.0
4.857 0.000 0.000
0.000 4.857 0.000
0.000 0.000 4.857
Sr Tl
1 3
direct
0.000 0.000 0.000
0.000 0.500 0.500
0.500 0.000 0.500
0.500 0.500 0.000
```

[15]
Computed, not measured: TaCr2CoNi after structural relaxation at the PBEsol level of DFT.

Computed properties:
As for the space group: P4/mmm, No. 123. The theoretical density is 8.74 g/cm³. Its total magnetic moment is 2.993 μB per cell. The calculation puts the final energy at -8.1925 eV per atom.

Geometry as POSCAR:
```
TaCr2CoNi
1.0
4.117 0.000 0.000
0.000 4.117 0.000
0.000 0.000 4.515
Ta Cr Co Ni
1 2 1 1
direct
0.000 0.000 0.000
0.000 0.500 0.500
0.500 0.000 0.500
0.000 0.000 0.500
0.500 0.500 0.000
```

[16]
Computed, not measured: Zn3MoC after structural relaxation at the PBEsol level of DFT.

Computed properties:
As for the space group: Pm-3m, No. 221. The theoretical density is 7.68 g/cm³. Its total magnetic moment is 1.439 μB per cell. The calculation puts the final energy at -4.1849 eV per atom.

Geometry as POSCAR:
```
Zn3MoC
1.0
4.037 0.000 0.000
0.000 4.037 0.000
0.000 0.000 4.037
Zn Mo C
3 1 1
direct
0.000 0.000 0.500
0.000 0.500 0.000
0.500 0.000 0.000
0.500 0.500 0.500
0.000 0.000 0.000
```

[17]
Computed, not measured: MnNbCr2N after structural relaxation at the PBEsol level of DFT.

Computed properties:
As for the space group: P4/mmm, No. 123. The theoretical density is 7.90 g/cm³. Its total magnetic moment is 1.766 μB per cell. As for the uncorrected formation energy: -0.3008 eV per atom.

Geometry as POSCAR:
```
MnNbCr2N
1.0
3.851 0.000 0.000
0.000 3.851 0.000
0.000 0.000 3.766
Mn Nb Cr N
1 1 2 1
direct
0.000 0.000 0.000
0.500 0.500 0.000
0.000 0.500 0.500
0.500 0.000 0.500
0.000 0.000 0.500
```

[18]
Computed, not measured: K3CI after structural relaxation at the PBEsol level of DFT.

Computed properties:
As for the space group: Pm-3m, No. 221. The theoretical density is 2.39 g/cm³. Its total magnetic moment is 2.000 μB per cell. As for the uncorrected formation energy: 0.3127 eV per atom. The offset from the most stable computed form comes out at 0.0 meV/atom.

Geometry as POSCAR:
```
K3CI
1.0
5.622 0.000 0.000
0.000 5.622 0.000
0.000 0.000 5.622
K C I
3 1 1
direct
0.000 0.000 0.500
0.000 0.500 0.000
0.500 0.000 0.000
0.000 0.000 0.000
0.500 0.500 0.500
```

[19]
Computed, not measured: KSiAu2 after structural relaxation at the PBEsol level of DFT.

Computed properties:
As for the space group: I4_1/amd, No. 141. The theoretical density is 6.68 g/cm³. Its total magnetic moment is 0.000 μB per cell. As for the uncorrected formation energy: -0.1315 eV per atom.

Geometry as POSCAR:
```
KSiAu2
1.0
-2.699 2.699 7.872
2.699 -2.699 7.872
2.699 2.699 -7.872
K Si Au
2 2 4
direct
0.375 0.625 0.750
0.625 0.375 0.250
0.125 0.875 0.250
0.875 0.125 0.750
0.000 0.000 0.000
0.000 0.000 0.500
0.000 0.500 0.000
0.500 0.000 0.500
```

[20]
Computed, not measured: ScCo2Ir after structural relaxation at the PBEsol level of DFT.

Computed properties:
As for the space group: P4/mmm, No. 123. The theoretical density is 11.23 g/cm³. Its total magnetic moment is 2.159 μB per cell. The calculation puts the final energy at -8.2198 eV per atom.

Geometry as POSCAR:
```
ScCo2Ir
1.0
3.767 0.000 0.000
0.000 3.767 0.000
0.000 0.000 3.699
Sc Co Ir
1 2 1
direct
0.000 0.000 0.000
0.000 0.500 0.500
0.500 0.000 0.500
0.500 0.500 0.000
```

Asked for Fermi-level density of states across the records above, the calculation gives 0.48, 0.46, 0.37, 0.86, 0.45, 1.14, 1.00, 0.68, 1.05, 0.55, 0.98, 0.34, 1.06, 0.66, 1.52, 0.72, 0.89, 0.67, 0.54, 1.60 states/eV per atom in order.